Density functional theory data (PBE+U) for an optimized crystal structure of KMnCrO3.

**SG**: Cmcm
**Size of the total moment**: 8.0 μB per formula unit
**Total energy**: -80.62 eV/cell

Cell lengths 7.244, 7.244, 8.529 Å; angles 90.00, 90.00, 154.47 degrees
Element x y z (fractional)
K 0.168 0.832 0.750
K 0.832 0.168 0.250
Mn 0.090 0.910 0.250
Mn 0.910 0.090 0.750
Cr 0.500 0.500 0.000
Cr 0.500 0.500 0.500
O 0.093 0.907 0.021
O 0.093 0.907 0.479
O 0.490 0.510 0.250
O 0.510 0.490 0.750
O 0.907 0.093 0.521
O 0.907 0.093 0.979